PmZn2 after structural relaxation, computed with PBE.

Unit cell a=5.5225 b=5.5225 c=5.5225 alpha=60.00 beta=60.00 gamma=60.00
Fractional coordinates of all 6 atoms:
Pm  0.1250  0.1250  0.1250
Pm  0.8750  0.8750  0.8750
Zn  0.0000  0.5000  0.5000
Zn  0.5000  0.0000  0.5000
Zn  0.5000  0.5000  0.0000
Zn  0.5000  0.5000  0.5000

Results
ΔE to the lowest computed polymorph   0.134 eV per formula unit
Energy of formation from the pure elements   -330 meV per atom
SG   Fd-3m, No. 227
Electronic total energy   -16.5 eV for the cell shown
M_tot   0.0083 μB per atom


PbW after structural relaxation, computed with PBE.

Unit cell a=4.0345 b=4.0345 c=4.0345 alpha=60.00 beta=60.00 gamma=60.00
Fractional coordinates of all 2 atoms:
Pb  0.0000  0.0000  0.0000
W  0.5000  0.5000  0.5000

Results
ΔE to the lowest computed polymorph   1.318 eV per formula unit
SG   Fm-3m, No. 225
Electronic total energy   -12.9 eV for the cell shown
M_tot   0.9272 μB per atom